Record 1
Material: BeCoPtPb
Method: DFT, PBE
State: optimized geometry Values from VASP.

Space-group type: No. 216
Polymorph energy (0 for the lowest one) in meV/atom: 0.0

Geometry as Quantum ESPRESSO input:
```
&SYSTEM
  ibrav = 0, nat = 4, ntyp = 4
/
ATOMIC_SPECIES
Be 9.01 Be.upf
Co 58.93 Co.upf
Pt 195.08 Pt.upf
Pb 207.20 Pb.upf
CELL_PARAMETERS angstrom
0.0000 3.1148 3.1148
3.1148 0.0000 3.1148
3.1148 3.1148 0.0000
ATOMIC_POSITIONS angstrom
Be 0.0000 0.0000 0.0000
Co 4.6722 4.6722 4.6722
Pt 1.5574 1.5574 1.5574
Pb 3.1148 3.1148 3.1148
```

=====

Record 2
Material: KLaZnSe3
Method: DFT, PBE
State: optimized geometry Values from VASP.

Space-group type: No. 11
Final energy in eV per cell: -52.46

Geometry as Quantum ESPRESSO input:
```
&SYSTEM
  ibrav = 0, nat = 12, ntyp = 4
/
ATOMIC_SPECIES
K 39.10 K.upf
La 138.91 La.upf
Zn 65.41 Zn.upf
Se 78.96 Se.upf
CELL_PARAMETERS angstrom
8.6921 0.0000 0.0000
0.0000 4.2925 0.0000
-2.7616 0.0000 10.0682
ATOMIC_POSITIONS angstrom
K 1.5666 1.0731 2.1806
K 4.3640 3.2194 7.8876
La -0.0656 3.2194 6.3983
La 5.9962 1.0731 3.6700
Zn 1.2287 1.0731 8.9965
Zn 4.7019 3.2194 1.0717
Se -0.6208 3.2194 3.4826
Se -0.0815 3.2194 9.5839
Se 2.0122 1.0731 6.6866
Se 3.9183 3.2194 3.3816
Se 6.0120 1.0731 0.4843
Se 6.5514 1.0731 6.5856
```

=====

Record 3
Material: TlAgTeIrS2
Method: DFT, PBE
State: optimized geometry Values from VASP.

Space-group type: No. 63
Final energy in eV per cell: -52.64

Geometry as Quantum ESPRESSO input:
```
&SYSTEM
  ibrav = 0, nat = 12, ntyp = 5
/
ATOMIC_SPECIES
Tl 204.38 Tl.upf
Ag 107.87 Ag.upf
Te 127.60 Te.upf
Ir 192.22 Ir.upf
S 32.06 S.upf
CELL_PARAMETERS angstrom
1.7903 -7.8840 0.0000
1.7903 7.8840 0.0000
0.0000 0.0000 10.3028
ATOMIC_POSITIONS angstrom
Tl 1.7903 4.4214 7.7271
Tl 1.7903 -4.4214 2.5757
Ag 1.7903 5.9114 2.5757
Ag 1.7903 -5.9114 7.7271
Te 1.7903 0.7383 2.5757
Te 1.7903 -0.7383 7.7271
Ir 1.7903 0.0000 0.0000
Ir 1.7903 0.0000 5.1514
S 1.7903 6.2829 0.1756
S 1.7903 6.2829 4.9758
S 1.7903 -6.2829 5.3270
S 1.7903 -6.2829 10.1272
```

=====

Record 4
Material: La2Gd2B3
Method: DFT, PBE
State: optimized geometry Values from VASP.

Space-group type: No. 65
Final energy in eV per cell: -34.13

Geometry as Quantum ESPRESSO input:
```
&SYSTEM
  ibrav = 0, nat = 7, ntyp = 3
/
ATOMIC_SPECIES
La 138.91 La.upf
Gd 157.25 Gd.upf
B 10.81 B.upf
CELL_PARAMETERS angstrom
1.6860 -9.4955 0.0000
1.6860 9.4955 0.0000
0.0000 0.0000 5.6831
ATOMIC_POSITIONS angstrom
La 1.6860 7.1722 0.0000
La 1.6860 -7.1722 0.0000
Gd 1.6860 2.4947 2.8415
Gd 1.6860 -2.4947 2.8415
B 1.6860 5.0186 2.8415
B 1.6860 0.0000 2.8415
B 1.6860 -5.0186 2.8415
```

=====

Record 5
Material: Nb2GaCo2Sb
Method: DFT, PBE
State: optimized geometry Values from VASP.

Space-group type: No. 122
Final energy in eV per cell: -87.79

Geometry as Quantum ESPRESSO input:
```
&SYSTEM
  ibrav = 0, nat = 12, ntyp = 4
/
ATOMIC_SPECIES
Nb 92.91 Nb.upf
Ga 69.72 Ga.upf
Co 58.93 Co.upf
Sb 121.76 Sb.upf
CELL_PARAMETERS angstrom
-2.9306 2.9306 5.8408
2.9306 -2.9306 5.8408
2.9306 2.9306 -5.8408
ATOMIC_POSITIONS angstrom
Nb 0.0000 0.0000 2.8398
Nb 0.0000 2.9306 0.0806
Nb 0.0000 0.0000 8.8417
Nb 0.0000 2.9306 5.7602
Ga 0.0000 0.0000 0.0000
Ga 0.0000 2.9306 2.9204
Co 1.4653 1.4579 -1.4602
Co 1.4727 -1.4653 7.3009
Co 1.4653 1.4727 4.3806
Co 1.4579 4.3959 1.4602
Sb 2.9306 0.0000 2.9204
Sb 0.0000 0.0000 5.8408
```

=====

Record 6
Material: Pr2NiPt
Method: DFT, PBE
State: optimized geometry Values from VASP.

Space-group type: No. 26
ΔE_f in eV per atom: -0.712

Geometry as Quantum ESPRESSO input:
```
&SYSTEM
  ibrav = 0, nat = 8, ntyp = 3
/
ATOMIC_SPECIES
Pr 140.91 Pr.upf
Ni 58.69 Ni.upf
Pt 195.08 Pt.upf
CELL_PARAMETERS angstrom
4.4834 0.0000 0.0000
0.0000 5.7233 0.0000
0.0000 0.0000 7.4395
ATOMIC_POSITIONS angstrom
Pr 0.0000 0.6657 0.0000
Pr 0.0000 5.0576 3.7197
Pr 2.2417 2.1825 4.7469
Pr 2.2417 3.5408 1.0271
Ni 2.2417 0.6469 2.0509
Ni 2.2417 5.0764 5.7706
Pt 0.0000 2.1955 2.6558
Pt 0.0000 3.5278 6.3755
```

=====

Record 7
Material: Sm2Si
Method: DFT, PBE
State: optimized geometry Values from VASP.

Space-group type: No. 227
Final energy in eV per cell: -23.03

Geometry as Quantum ESPRESSO input:
```
&SYSTEM
  ibrav = 0, nat = 6, ntyp = 2
/
ATOMIC_SPECIES
Sm 150.36 Sm.upf
Si 28.09 Si.upf
CELL_PARAMETERS angstrom
0.0000 6.3054 6.3054
6.3054 0.0000 6.3054
6.3054 6.3054 0.0000
ATOMIC_POSITIONS angstrom
Sm 0.0000 0.0000 0.0000
Sm 3.1527 3.1527 0.0000
Sm 3.1527 0.0000 3.1527
Sm 0.0000 3.1527 3.1527
Si 1.5764 1.5764 1.5764
Si 11.0345 11.0345 11.0345
```

=====

Record 8
Material: PrErAl2Ni4
Method: DFT, PBE
State: optimized geometry Values from VASP.

Space-group type: No. 187
Final energy in eV per cell: -43.54

Geometry as Quantum ESPRESSO input:
```
&SYSTEM
  ibrav = 0, nat = 8, ntyp = 4
/
ATOMIC_SPECIES
Pr 140.91 Pr.upf
Er 167.26 Er.upf
Al 26.98 Al.upf
Ni 58.69 Ni.upf
CELL_PARAMETERS angstrom
4.1573 0.0000 0.0000
-2.0786 3.6003 0.0000
0.0000 0.0000 9.1592
ATOMIC_POSITIONS angstrom
Pr 0.0000 0.0000 0.0000
Er 0.0000 2.4002 4.5796
Al 2.0787 1.2001 2.4031
Al 2.0787 1.2001 6.7562
Ni 0.0000 0.0000 2.9465
Ni 0.0000 0.0000 6.2127
Ni 0.0000 2.4002 1.8708
Ni 0.0000 2.4002 7.2884
```

=====

no.,ρ (g/cm3)
1,12.919
2,4.246
3,7.950
4,5.701
5,8.196
6,9.318
7,2.178
8,7.230